1.
{"formula": "KCd2Co2As3", "functional": "PBE", "state": "relaxed", "mass_density_g_cm3": 5.94, "final_energy_ha_per_atom": -0.142, "magnetic_moment_mub_per_fu": 0.73, "spacegroup": "No. 166", "lattice_angstrom": [[1.8933, 1.0931, 13.6493], [-1.8933, 1.0931, 13.6493], [0.0000, -2.1862, 13.6493]], "species": ["K", "As", "As", "As", "Co", "Co", "Cd", "Cd"], "fractional_positions": [[0.5000, 0.5000, 0.5000], [0.7738, 0.7738, 0.7738], [0.2262, 0.2262, 0.2262], [0.0000, 0.0000, 0.0000], [0.0882, 0.0882, 0.0882], [0.9118, 0.9118, 0.9118], [0.7077, 0.7077, 0.7077], [0.2923, 0.2923, 0.2923]]}

2.
{"formula": "Sm2Dy2CIBr2Cl2", "functional": "PBE", "state": "relaxed", "mass_density_g_cm3": 5.97, "final_energy_ha_per_atom": -0.188, "magnetic_moment_mub_per_fu": 0.38, "spacegroup": "No. 12", "lattice_angstrom": [[8.7091, -1.9347, 0.0000], [8.7091, 1.9347, 0.0000], [-2.1623, 0.0000, 8.2140]], "species": ["Br", "Br", "C", "Cl", "Cl", "Dy", "Dy", "Sm", "Sm", "I"], "fractional_positions": [[0.1680, 0.1680, 0.3417], [0.8320, 0.8320, 0.6583], [0.5000, 0.5000, 0.0000], [0.1674, 0.1674, 0.8489], [0.8326, 0.8326, 0.1511], [0.9988, 0.9988, 0.1912], [0.0012, 0.0012, 0.8088], [0.3538, 0.3538, 0.9219], [0.6462, 0.6462, 0.0781], [0.5000, 0.5000, 0.5000]]}

3.
{"formula": "LiNiPd", "functional": "PBE", "state": "relaxed", "mass_density_g_cm3": 6.97, "final_energy_ha_per_atom": -0.145, "magnetic_moment_mub_per_fu": 0.15, "spacegroup": "No. 216", "lattice_angstrom": [[0.0000, 2.7372, 2.7372], [2.7372, 0.0000, 2.7372], [2.7372, 2.7372, 0.0000]], "species": ["Ni", "Li", "Pd"], "fractional_positions": [[0.2500, 0.2500, 0.2500], [0.0000, 0.0000, 0.0000], [0.7500, 0.7500, 0.7500]]}

4.
{"formula": "RbErFeSe3", "functional": "PBE", "state": "relaxed", "mass_density_g_cm3": 5.64, "final_energy_ha_per_atom": -0.186, "magnetic_moment_mub_per_fu": 3.99, "spacegroup": "No. 12", "lattice_angstrom": [[-4.1622, -3.7052, 6.9644], [-6.4225, -4.9931, 3.6571], [6.2897, -6.1760, -1.8936]], "species": ["Er", "Er", "Se", "Se", "Se", "Se", "Se", "Se", "Fe", "Fe", "Rb", "Rb"], "fractional_positions": [[0.1661, 0.1661, 0.0748], [0.8339, 0.8339, 0.9252], [0.5000, 0.5000, 0.5000], [0.3466, 0.3466, 0.7251], [0.3359, 0.3359, 0.1389], [0.6534, 0.6534, 0.2749], [0.6641, 0.6641, 0.8611], [0.0000, 0.0000, 0.0000], [0.5048, 0.5048, 0.2274], [0.4952, 0.4952, 0.7726], [0.1499, 0.1499, 0.5659], [0.8501, 0.8501, 0.4341]]}